No. 1
The following is a PBE calculation of a relaxed structure of Al2TlF, from Alexandria via LeMat-Bulk.

Geometry as CIF:
```
data_Al2TlF
_cell_length_a 6.614
_cell_length_b 6.614
_cell_length_c 6.614
_cell_angle_alpha 90.00
_cell_angle_beta 90.00
_cell_angle_gamma 90.00
_space_group_name_H-M_alt 'F m -3 m'
_space_group_IT_number 225
_space_group_name_Hall '-F 4 2 3'
loop_
_atom_site_label
_atom_site_type_symbol
_atom_site_fract_x
_atom_site_fract_y
_atom_site_fract_z
Al1 Al 0.250 0.250 0.250
Tl1 Tl 0.000 0.000 0.000
F1 F 0.000 0.000 0.500
```

Results
E_form (uncorrected): -0.328 eV/atom
Density of states at the Fermi level: 3.52 states/eV per cell

No. 2
The following is a PBE calculation of a relaxed structure of CaZn3AgPd, from Alexandria via LeMat-Bulk.

Geometry as CIF:
```
data_CaZn3AgPd
_cell_length_a 8.246
_cell_length_b 11.265
_cell_length_c 5.497
_cell_angle_alpha 90.00
_cell_angle_beta 90.00
_cell_angle_gamma 90.00
_space_group_name_H-M_alt 'C m c m'
_space_group_IT_number 63
_space_group_name_Hall '-C 2c 2'
loop_
_atom_site_label
_atom_site_type_symbol
_atom_site_fract_x
_atom_site_fract_y
_atom_site_fract_z
Ca1 Ca 0.000 0.200 0.250
Zn1 Zn 0.000 0.328 0.750
Zn2 Zn 0.249 0.000 0.000
Ag1 Ag 0.000 0.088 0.750
Pd1 Pd 0.000 0.446 0.250
```

Results
Density of states at the Fermi level: 12.76 states/eV per cell
DFT formation energy: -194 meV/atom

No. 3
The following is a PBE calculation of a relaxed structure of ReNiHg2, from Alexandria via LeMat-Bulk.

Geometry as CIF:
```
data_ReNiHg2
_cell_length_a 2.785
_cell_length_b 4.486
_cell_length_c 5.533
_cell_angle_alpha 90.00
_cell_angle_beta 100.45
_cell_angle_gamma 90.00
_space_group_name_H-M_alt 'P 1 2/m 1'
_space_group_IT_number 10
loop_
_space_group_symop_operation_xyz
'x,y,z'
'-x,-y,-z'
'-x,y,-z'
'x,-y,z'
loop_
_atom_site_label
_atom_site_type_symbol
_atom_site_fract_x
_atom_site_fract_y
_atom_site_fract_z
Re1 Re 0.000 0.000 0.000
Ni1 Ni 0.500 0.000 0.500
Hg1 Hg 0.335 0.500 0.743
```

Results
Density of states at the Fermi level: 4.78 states/eV per cell
DFT formation energy: 801 meV/atom

No. 4
The following is a PBE calculation of a relaxed structure of GePd6O12, from Alexandria via LeMat-Bulk.

Geometry as CIF:
```
data_GePd6O12
_cell_length_a 9.1127
_cell_length_b 9.1127
_cell_length_c 8.8163
_cell_angle_alpha 90.00
_cell_angle_beta 90.00
_cell_angle_gamma 120.00
_space_group_name_H-M_alt 'R -3'
_space_group_IT_number 148
_space_group_name_Hall '-R 3'
loop_
_atom_site_label
_atom_site_type_symbol
_atom_site_fract_x
_atom_site_fract_y
_atom_site_fract_z
Ge1 Ge 0.0000 0.0000 0.0000
Pd1 Pd 0.0463 0.8017 0.6667
O1 O 0.0335 0.8035 0.4061
O2 O 0.0750 0.8728 0.8896
```

Results
E_form (uncorrected): -0.392 eV/atom
Density of states at the Fermi level: 28.81 states/eV per cell

No. 5
The following is a PBE calculation of a relaxed structure of InW2Br, from Alexandria via LeMat-Bulk.

Geometry as CIF:
```
data_InW2Br
_cell_length_a 3.200
_cell_length_b 3.200
_cell_length_c 8.361
_cell_angle_alpha 90.00
_cell_angle_beta 90.00
_cell_angle_gamma 90.00
_space_group_name_H-M_alt 'P 4 m m'
_space_group_IT_number 99
loop_
_space_group_symop_operation_xyz
'x,y,z'
'-y,x,z'
'-x,-y,z'
'y,-x,z'
'-x,y,z'
'y,x,z'
'x,-y,z'
'-y,-x,z'
loop_
_atom_site_label
_atom_site_type_symbol
_atom_site_fract_x
_atom_site_fract_y
_atom_site_fract_z
In1 In 0.000 0.000 0.000
W1 W 0.000 0.000 0.395
W2 W 0.500 0.500 0.227
Br1 Br 0.500 0.500 0.630
```

Results
E_form (uncorrected): 0.489 eV/atom
Density of states at the Fermi level: 2.23 states/eV per cell

No. 6
The following is a PBE calculation of a relaxed structure of PrSm2TmTh, from Alexandria via LeMat-Bulk.

Geometry as CIF:
```
data_PrSm2TmTh
_cell_length_a 8.637
_cell_length_b 6.446
_cell_length_c 6.388
_cell_angle_alpha 90.00
_cell_angle_beta 98.15
_cell_angle_gamma 90.00
_space_group_name_H-M_alt 'P 1 2/c 1'
_space_group_IT_number 13
loop_
_space_group_symop_operation_xyz
'x,y,z'
'-x,-y,-z'
'-x,y,-z+1/2'
'x,-y,z+1/2'
loop_
_atom_site_label
_atom_site_type_symbol
_atom_site_fract_x
_atom_site_fract_y
_atom_site_fract_z
Pr1 Pr 0.000 0.000 0.000
Sm1 Sm 0.316 0.311 0.205
Tm1 Tm 0.500 0.172 0.750
Th1 Th 0.000 0.453 0.750
```

Results
Density of states at the Fermi level: 13.18 states/eV per cell
DFT formation energy: 323 meV/atom

No. 7
The following is a PBE calculation of a relaxed structure of K3SnGe2I9, from Alexandria via LeMat-Bulk.

Geometry as CIF:
```
data_K3SnGe2I9
_cell_length_a 8.4832
_cell_length_b 8.4832
_cell_length_c 10.6656
_cell_angle_alpha 90.00
_cell_angle_beta 90.00
_cell_angle_gamma 120.00
_space_group_name_H-M_alt 'P -3 m 1'
_space_group_IT_number 164
_space_group_name_Hall '-P 3 2"'
loop_
_atom_site_label
_atom_site_type_symbol
_atom_site_fract_x
_atom_site_fract_y
_atom_site_fract_z
K1 K 0.0000 0.0000 0.0000
K2 K 0.3333 0.6667 0.7325
Sn1 Sn 0.0000 0.0000 0.5000
Ge1 Ge 0.3333 0.6667 0.1682
I1 I 0.0000 0.5000 0.0000
I2 I 0.1676 0.3353 0.3206
```

Results
E_form (uncorrected): -0.766 eV/atom

No. 8
The following is a PBE calculation of a relaxed structure of Pm8NiBi2, from Alexandria via LeMat-Bulk.

Geometry as CIF:
```
data_Pm8NiBi2
_cell_length_a 19.269
_cell_length_b 4.758
_cell_length_c 7.587
_cell_angle_alpha 90.00
_cell_angle_beta 97.98
_cell_angle_gamma 90.00
_space_group_name_H-M_alt 'C 1 2/m 1'
_space_group_IT_number 12
loop_
_space_group_symop_operation_xyz
'x,y,z'
'-x,-y,-z'
'-x,y,-z'
'x,-y,z'
'x+1/2,y+1/2,z'
'-x+1/2,-y+1/2,-z'
'-x+1/2,y+1/2,-z'
'x+1/2,-y+1/2,z'
loop_
_atom_site_label
_atom_site_type_symbol
_atom_site_fract_x
_atom_site_fract_y
_atom_site_fract_z
Pm1 Pm 0.002 0.000 0.282
Pm2 Pm 0.094 0.500 0.014
Pm3 Pm 0.140 0.500 0.538
Pm4 Pm 0.213 0.000 0.850
Ni1 Ni 0.000 0.500 0.500
Bi1 Bi 0.184 0.000 0.278
```

Results
Density of states at the Fermi level: 24.70 states/eV per cell
DFT formation energy: -334 meV/atom